The following is a DFT calculation (PBE) of crystalline KLa2Ag at its relaxed geometry.

The space group is I4/mmm (No. 139) and the conventional cell measures 4.8905, 4.8905 and 11.4416 Å, with angles of 90.00, 90.00 and 90.00 degrees. The asymmetric unit holds K at (0.0000, 0.0000, 0.0000), La at (0.0000, 0.5000, 0.2500) and Ag at (0.0000, 0.0000, 0.5000).

For the total energy, the calculation gives -25.04 eV for the cell shown. The value obtained for the density of states at the Fermi level is 1.338 states/eV/atom. The crystal system is tetragonal.

The following is a DFT calculation (PBE) of crystalline CaGa2HgBr8 at its relaxed geometry.

The space group is R-3 (No. 148, hexagonal axes) and the conventional cell measures 6.9137, 6.9137 and 35.8591 Å, with angles of 90.00, 90.00 and 120.00 degrees. The asymmetric unit holds Ca at (0.0000, 0.0000, 0.0000), Ga at (0.0000, 0.0000, 0.2611), Hg at (0.0000, 0.0000, 0.5000), Br at (0.0000, 0.0000, 0.1973) and Br at (0.0031, 0.3471, 0.9517).

For the total energy, the calculation gives -102.17 eV for the cell shown. The uncorrected formation energy is -1.026 eV per atom. The value obtained for the density of states at the Fermi level is 0.000 states/eV/atom. The crystal system is trigonal.

The following is a DFT calculation (PBE) of crystalline CaZnCu at its relaxed geometry.

The space group is C2/m (No. 12) and the conventional cell measures 10.2915, 4.4312 and 7.1902 Å, with angles of 90.00, 132.66 and 90.00 degrees. The asymmetric unit holds Ca at (0.0547, 0.0000, 0.3053), Zn at (0.1726, 0.5000, 0.1003) and Cu at (0.1578, 0.5000, 0.7165).

For the total energy, the calculation gives -32.16 eV for the cell shown. The value obtained for the density of states at the Fermi level is 0.385 states/eV/atom. The crystal system is monoclinic.